{"formula": "GdHoNi2C2N2", "functional": "GGA-PBE", "state": "optimized geometry", "dft_energy_ev_per_atom": -7.572, "lattice": [[3.465, 0.000, 0.000], [0.000, 3.465, 0.000], [0.000, 0.000, 7.327]], "species": ["Gd", "Ho", "Ni", "Ni", "C", "C", "N", "N"], "frac_coords": [[0.000, 0.000, 0.000], [0.500, 0.500, 0.654], [0.000, 0.500, 0.327], [0.500, 0.000, 0.327], [0.000, 0.000, 0.486], [0.500, 0.500, 0.164], [0.000, 0.000, 0.677], [0.500, 0.500, 0.973]]}